# CrSi3Pd GGA-PBE relaxed
data_CrSi3Pd
_chemical_formula_sum 'Cr1 Si3 Pd1'
_symmetry_space_group_name_H-M 'P m -3 m'
_symmetry_Int_Tables_number 221
_symmetry_space_group_name_Hall '-P 4 2 3'
_cell_length_a 4.397
_cell_length_b 4.397
_cell_length_c 4.397
_cell_angle_alpha 90.00
_cell_angle_beta 90.00
_cell_angle_gamma 90.00
loop_
_atom_site_label
_atom_site_fract_x
_atom_site_fract_y
_atom_site_fract_z
Cr1 0.000 0.000 0.000
Si1 0.000 0.000 0.500
Pd1 0.500 0.500 0.500
# * energy: -29.341 eV for the cell shown

# CrSiPd3 GGA-PBE relaxed
data_CrSiPd3
_chemical_formula_sum 'Cr1 Si1 Pd3'
_symmetry_space_group_name_H-M 'P m -3 m'
_symmetry_Int_Tables_number 221
_symmetry_space_group_name_Hall '-P 4 2 3'
_cell_length_a 4.467
_cell_length_b 4.467
_cell_length_c 4.467
_cell_angle_alpha 90.00
_cell_angle_beta 90.00
_cell_angle_gamma 90.00
loop_
_atom_site_label
_atom_site_fract_x
_atom_site_fract_y
_atom_site_fract_z
Cr1 0.000 0.000 0.000
Si1 0.500 0.500 0.500
Pd1 0.000 0.500 0.500
# * energy: -27.675 eV for the cell shown

# Cr2Si2Pd GGA-PBE relaxed
data_Cr2Si2Pd
_chemical_formula_sum 'Cr4 Si4 Pd2'
_symmetry_space_group_name_H-M 'P 4/m b m'
_symmetry_Int_Tables_number 127
_symmetry_space_group_name_Hall '-P 4 2ab'
_cell_length_a 6.501
_cell_length_b 6.501
_cell_length_c 3.098
_cell_angle_alpha 90.00
_cell_angle_beta 90.00
_cell_angle_gamma 90.00
loop_
_atom_site_label
_atom_site_fract_x
_atom_site_fract_y
_atom_site_fract_z
Cr1 0.161 0.339 0.000
Si1 0.133 0.633 0.500
Pd1 0.000 0.000 0.500
# * energy: -72.647 eV for the cell shown

# Cr3SiPd GGA-PBE relaxed
data_Cr3SiPd
_chemical_formula_sum 'Cr3 Si1 Pd1'
_symmetry_space_group_name_H-M 'P m -3 m'
_symmetry_Int_Tables_number 221
_symmetry_space_group_name_Hall '-P 4 2 3'
_cell_length_a 4.783
_cell_length_b 4.783
_cell_length_c 4.783
_cell_angle_alpha 90.00
_cell_angle_beta 90.00
_cell_angle_gamma 90.00
loop_
_atom_site_label
_atom_site_fract_x
_atom_site_fract_y
_atom_site_fract_z
Cr1 0.000 0.000 0.500
Si1 0.500 0.500 0.500
Pd1 0.000 0.000 0.000
# * energy: -32.443 eV for the cell shown

# Cr2SiPd GGA-PBE relaxed
data_Cr2SiPd
_chemical_formula_sum 'Cr8 Si4 Pd4'
_symmetry_space_group_name_H-M 'I -4 2 d'
_symmetry_Int_Tables_number 122
_symmetry_space_group_name_Hall 'I -4 2bw'
_cell_length_a 6.797
_cell_length_b 6.797
_cell_length_c 4.865
_cell_angle_alpha 90.00
_cell_angle_beta 90.00
_cell_angle_gamma 90.00
loop_
_atom_site_label
_atom_site_fract_x
_atom_site_fract_y
_atom_site_fract_z
Cr1 0.226 0.250 0.125
Si1 0.000 0.000 0.000
Pd1 0.000 0.000 0.500
# * energy: -112.950 eV for the cell shown

# CrSiPd3 GGA-PBE relaxed
data_CrSiPd3
_chemical_formula_sum 'Cr1 Si1 Pd3'
_symmetry_space_group_name_H-M 'P m -3 m'
_symmetry_Int_Tables_number 221
_symmetry_space_group_name_Hall '-P 4 2 3'
_cell_length_a 4.565
_cell_length_b 4.565
_cell_length_c 4.565
_cell_angle_alpha 90.00
_cell_angle_beta 90.00
_cell_angle_gamma 90.00
loop_
_atom_site_label
_atom_site_fract_x
_atom_site_fract_y
_atom_site_fract_z
Cr1 0.000 0.000 0.000
Si1 0.500 0.500 0.500
Pd1 0.000 0.000 0.500
# * energy: -25.452 eV for the cell shown

# CrSiPd GGA-PBE relaxed
data_CrSiPd
_chemical_formula_sum 'Cr2 Si2 Pd2'
_symmetry_space_group_name_H-M 'P m m n'
_symmetry_Int_Tables_number 59
_cell_length_a 2.997
_cell_length_b 3.876
_cell_length_c 6.868
_cell_angle_alpha 90.00
_cell_angle_beta 90.00
_cell_angle_gamma 90.00
loop_
_symmetry_equiv_pos_as_xyz
'x,y,z'
'-x,-y,-z'
'-x+1/2,-y+1/2,z'
'x+1/2,y+1/2,-z'
'x+1/2,-y,-z'
'-x+1/2,y,z'
'-x,y+1/2,-z'
'x,-y+1/2,z'
loop_
_atom_site_label
_atom_site_fract_x
_atom_site_fract_y
_atom_site_fract_z
Cr1 0.250 0.250 0.015
Si1 0.250 0.750 0.263
Pd1 0.250 0.750 0.623
# * energy: -42.177 eV for the cell shown

# CrSiPd2 GGA-PBE relaxed
data_CrSiPd2
_chemical_formula_sum 'Cr4 Si4 Pd8'
_symmetry_space_group_name_H-M 'I -4 2 d'
_symmetry_Int_Tables_number 122
_symmetry_space_group_name_Hall 'I -4 2bw'
_cell_length_a 3.812
_cell_length_b 3.812
_cell_length_c 17.349
_cell_angle_alpha 90.00
_cell_angle_beta 90.00
_cell_angle_gamma 90.00
loop_
_atom_site_label
_atom_site_fract_x
_atom_site_fract_y
_atom_site_fract_z
Cr1 0.000 0.000 0.000
Si1 0.000 0.000 0.500
Pd1 0.241 0.250 0.625
# * energy: -100.497 eV for the cell shown

# CrSiTcPd GGA-PBE relaxed
data_CrSiTcPd
_chemical_formula_sum 'Cr4 Si4 Tc4 Pd4'
_symmetry_space_group_name_H-M 'F -4 3 m'
_symmetry_Int_Tables_number 216
_symmetry_space_group_name_Hall 'F -4 2 3'
_cell_length_a 6.028
_cell_length_b 6.028
_cell_length_c 6.028
_cell_angle_alpha 90.00
_cell_angle_beta 90.00
_cell_angle_gamma 90.00
loop_
_atom_site_label
_atom_site_fract_x
_atom_site_fract_y
_atom_site_fract_z
Cr1 0.000 0.000 0.000
Si1 0.000 0.000 0.500
Tc1 0.250 0.250 0.250
Pd1 0.250 0.250 0.750
# * energy: -125.736 eV for the cell shown

# CrSn3Pd12 GGA-PBE relaxed
data_CrSn3Pd12
_chemical_formula_sum 'Cr1 Sn3 Pd12'
_symmetry_space_group_name_H-M 'P 4/m m m'
_symmetry_Int_Tables_number 123
_symmetry_space_group_name_Hall '-P 4 2'
_cell_length_a 4.019
_cell_length_b 4.019
_cell_length_c 15.945
_cell_angle_alpha 90.00
_cell_angle_beta 90.00
_cell_angle_gamma 90.00
loop_
_atom_site_label
_atom_site_fract_x
_atom_site_fract_y
_atom_site_fract_z
Cr1 0.000 0.000 0.000
Sn1 0.000 0.000 0.245
Sn2 0.000 0.000 0.500
Pd1 0.000 0.500 0.119
Pd2 0.000 0.500 0.373
Pd3 0.500 0.500 0.000
Pd4 0.500 0.500 0.246
Pd5 0.500 0.500 0.500
# * calculated formation energy: -6.22 eV per formula unit

# CrSn2Pd GGA-PBE relaxed
data_CrSn2Pd
_chemical_formula_sum 'Cr4 Sn8 Pd4'
_symmetry_space_group_name_H-M 'F m -3 m'
_symmetry_Int_Tables_number 225
_symmetry_space_group_name_Hall '-F 4 2 3'
_cell_length_a 6.572
_cell_length_b 6.572
_cell_length_c 6.572
_cell_angle_alpha 90.00
_cell_angle_beta 90.00
_cell_angle_gamma 90.00
loop_
_atom_site_label
_atom_site_fract_x
_atom_site_fract_y
_atom_site_fract_z
Cr1 0.000 0.000 0.000
Sn1 0.250 0.250 0.250
Pd1 0.000 0.000 0.500
# * calculated formation energy: 0.76 eV per formula unit

# Cr3SnPd GGA-PBE relaxed
data_Cr3SnPd
_chemical_formula_sum 'Cr3 Sn1 Pd1'
_symmetry_space_group_name_H-M 'P m -3 m'
_symmetry_Int_Tables_number 221
_symmetry_space_group_name_Hall '-P 4 2 3'
_cell_length_a 4.832
_cell_length_b 4.832
_cell_length_c 4.832
_cell_angle_alpha 90.00
_cell_angle_beta 90.00
_cell_angle_gamma 90.00
loop_
_atom_site_label
_atom_site_fract_x
_atom_site_fract_y
_atom_site_fract_z
Cr1 0.000 0.000 0.500
Sn1 0.500 0.500 0.500
Pd1 0.000 0.000 0.000
# * calculated formation energy: 5.39 eV per formula unit

# CrSnPd2 GGA-PBE relaxed
data_CrSnPd2
_chemical_formula_sum 'Cr1 Sn1 Pd2'
_symmetry_space_group_name_H-M 'P 4/m m m'
_symmetry_Int_Tables_number 123
_symmetry_space_group_name_Hall '-P 4 2'
_cell_length_a 4.156
_cell_length_b 4.156
_cell_length_c 3.859
_cell_angle_alpha 90.00
_cell_angle_beta 90.00
_cell_angle_gamma 90.00
loop_
_atom_site_label
_atom_site_fract_x
_atom_site_fract_y
_atom_site_fract_z
Cr1 0.000 0.000 0.000
Sn1 0.500 0.500 0.000
Pd1 0.000 0.500 0.500
# * calculated formation energy: -0.99 eV per formula unit

# CrSnPd3 GGA-PBE relaxed
data_CrSnPd3
_chemical_formula_sum 'Cr1 Sn1 Pd3'
_symmetry_space_group_name_H-M 'P m -3 m'
_symmetry_Int_Tables_number 221
_symmetry_space_group_name_Hall '-P 4 2 3'
_cell_length_a 4.629
_cell_length_b 4.629
_cell_length_c 4.629
_cell_angle_alpha 90.00
_cell_angle_beta 90.00
_cell_angle_gamma 90.00
loop_
_atom_site_label
_atom_site_fract_x
_atom_site_fract_y
_atom_site_fract_z
Cr1 0.000 0.000 0.000
Sn1 0.500 0.500 0.500
Pd1 0.000 0.000 0.500
# * calculated formation energy: 3.33 eV per formula unit

# CrSnPd2 GGA-PBE relaxed
data_CrSnPd2
_chemical_formula_sum 'Cr4 Sn4 Pd8'
_symmetry_space_group_name_H-M 'I -4 2 d'
_symmetry_Int_Tables_number 122
_symmetry_space_group_name_Hall 'I -4 2bw'
_cell_length_a 3.988
_cell_length_b 3.988
_cell_length_c 18.409
_cell_angle_alpha 90.00
_cell_angle_beta 90.00
_cell_angle_gamma 90.00
loop_
_atom_site_label
_atom_site_fract_x
_atom_site_fract_y
_atom_site_fract_z
Cr1 0.000 0.000 0.000
Sn1 0.000 0.000 0.500
Pd1 0.246 0.250 0.125
# * calculated formation energy: 0.45 eV per formula unit

# CrSnPd6 GGA-PBE relaxed
data_CrSnPd6
_chemical_formula_sum 'Cr1 Sn1 Pd6'
_symmetry_space_group_name_H-M 'P 4/m m m'
_symmetry_Int_Tables_number 123
_symmetry_space_group_name_Hall '-P 4 2'
_cell_length_a 3.992
_cell_length_b 3.992
_cell_length_c 7.898
_cell_angle_alpha 90.00
_cell_angle_beta 90.00
_cell_angle_gamma 90.00
loop_
_atom_site_label
_atom_site_fract_x
_atom_site_fract_y
_atom_site_fract_z
Cr1 0.000 0.000 0.000
Sn1 0.000 0.000 0.500
Pd1 0.000 0.500 0.243
Pd2 0.500 0.500 0.000
Pd3 0.500 0.500 0.500
# * calculated formation energy: -2.23 eV per formula unit

# CrSnPd14 GGA-PBE relaxed
data_CrSnPd14
_chemical_formula_sum 'Cr1 Sn1 Pd14'
_symmetry_space_group_name_H-M 'P 4/m m m'
_symmetry_Int_Tables_number 123
_symmetry_space_group_name_Hall '-P 4 2'
_cell_length_a 5.638
_cell_length_b 5.638
_cell_length_c 7.817
_cell_angle_alpha 90.00
_cell_angle_beta 90.00
_cell_angle_gamma 90.00
loop_
_atom_site_label
_atom_site_fract_x
_atom_site_fract_y
_atom_site_fract_z
Cr1 0.000 0.000 0.000
Sn1 0.500 0.500 0.000
Pd1 0.000 0.000 0.500
Pd2 0.000 0.500 0.000
Pd3 0.000 0.500 0.500
Pd4 0.247 0.247 0.248
Pd5 0.500 0.500 0.500
# * calculated formation energy: -2.23 eV per formula unit

# CrSn2Pd GGA-PBE relaxed
data_CrSn2Pd
_chemical_formula_sum 'Cr4 Sn8 Pd4'
_symmetry_space_group_name_H-M 'I -4 2 d'
_symmetry_Int_Tables_number 122
_symmetry_space_group_name_Hall 'I -4 2bw'
_cell_length_a 7.542
_cell_length_b 7.542
_cell_length_c 6.004
_cell_angle_alpha 90.00
_cell_angle_beta 90.00
_cell_angle_gamma 90.00
loop_
_atom_site_label
_atom_site_fract_x
_atom_site_fract_y
_atom_site_fract_z
Cr1 0.000 0.000 0.000
Sn1 0.234 0.250 0.625
Pd1 0.000 0.000 0.500
# * calculated formation energy: 0.78 eV per formula unit

# CrSn2Pd9 GGA-PBE relaxed
data_CrSn2Pd9
_chemical_formula_sum 'Cr1 Sn2 Pd9'
_symmetry_space_group_name_H-M 'P 4/m m m'
_symmetry_Int_Tables_number 123
_symmetry_space_group_name_Hall '-P 4 2'
_cell_length_a 4.011
_cell_length_b 4.011
_cell_length_c 11.908
_cell_angle_alpha 90.00
_cell_angle_beta 90.00
_cell_angle_gamma 90.00
loop_
_atom_site_label
_atom_site_fract_x
_atom_site_fract_y
_atom_site_fract_z
Cr1 0.000 0.000 0.000
Sn1 0.000 0.000 0.329
Pd1 0.000 0.500 0.160
Pd2 0.000 0.500 0.500
Pd3 0.500 0.500 0.000
Pd4 0.500 0.500 0.330
# * calculated formation energy: -4.22 eV per formula unit

# Cr3SnPd12 GGA-PBE relaxed
data_Cr3SnPd12
_chemical_formula_sum 'Cr3 Sn1 Pd12'
_symmetry_space_group_name_H-M 'P 4/m m m'
_symmetry_Int_Tables_number 123
_symmetry_space_group_name_Hall '-P 4 2'
_cell_length_a 3.946
_cell_length_b 3.946
_cell_length_c 15.725
_cell_angle_alpha 90.00
_cell_angle_beta 90.00
_cell_angle_gamma 90.00
loop_
_atom_site_label
_atom_site_fract_x
_atom_site_fract_y
_atom_site_fract_z
Cr1 0.000 0.000 0.000
Cr2 0.000 0.000 0.244
Sn1 0.000 0.000 0.500
Pd1 0.000 0.500 0.123
Pd2 0.000 0.500 0.369
Pd3 0.500 0.500 0.000
Pd4 0.500 0.500 0.246
Pd5 0.500 0.500 0.500
# * calculated formation energy: -2.83 eV per formula unit

# Cr2SnPd9 GGA-PBE relaxed
data_Cr2SnPd9
_chemical_formula_sum 'Cr2 Sn1 Pd9'
_symmetry_space_group_name_H-M 'P 4/m m m'
_symmetry_Int_Tables_number 123
_symmetry_space_group_name_Hall '-P 4 2'
_cell_length_a 3.960
_cell_length_b 3.960
_cell_length_c 11.826
_cell_angle_alpha 90.00
_cell_angle_beta 90.00
_cell_angle_gamma 90.00
loop_
_atom_site_label
_atom_site_fract_x
_atom_site_fract_y
_atom_site_fract_z
Cr1 0.000 0.000 0.161
Sn1 0.000 0.000 0.500
Pd1 0.000 0.500 0.000
Pd2 0.000 0.500 0.326
Pd3 0.500 0.500 0.163
Pd4 0.500 0.500 0.500
# * calculated formation energy: -2.54 eV per formula unit

# Cr2SnTePd GGA-PBE relaxed
data_Cr2SnTePd
_chemical_formula_sum 'Cr2 Sn1 Te1 Pd1'
_symmetry_space_group_name_H-M 'P 4/m m m'
_symmetry_Int_Tables_number 123
_symmetry_space_group_name_Hall '-P 4 2'
_cell_length_a 5.077
_cell_length_b 5.077
_cell_length_c 5.691
_cell_angle_alpha 90.00
_cell_angle_beta 90.00
_cell_angle_gamma 90.00
loop_
_atom_site_label
_atom_site_fract_x
_atom_site_fract_y
_atom_site_fract_z
Cr1 0.000 0.500 0.000
Sn1 0.000 0.000 0.000
Te1 0.000 0.000 0.500
Pd1 0.500 0.500 0.500
# * energy: -25.224 eV for the cell shown

# Cr2SnTePd GGA-PBE relaxed
data_Cr2SnTePd
_chemical_formula_sum 'Cr2 Sn1 Te1 Pd1'
_symmetry_space_group_name_H-M 'P 4/m m m'
_symmetry_Int_Tables_number 123
_symmetry_space_group_name_Hall '-P 4 2'
_cell_length_a 5.040
_cell_length_b 5.040
_cell_length_c 5.052
_cell_angle_alpha 90.00
_cell_angle_beta 90.00
_cell_angle_gamma 90.00
loop_
_atom_site_label
_atom_site_fract_x
_atom_site_fract_y
_atom_site_fract_z
Cr1 0.000 0.500 0.000
Sn1 0.000 0.000 0.500
Te1 0.500 0.500 0.500
Pd1 0.500 0.500 0.000
# * energy: -28.034 eV for the cell shown

# ZnCrSnPd GGA-PBE relaxed
data_ZnCrSnPd
_chemical_formula_sum 'Zn4 Cr4 Sn4 Pd4'
_symmetry_space_group_name_H-M 'F -4 3 m'
_symmetry_Int_Tables_number 216
_symmetry_space_group_name_Hall 'F -4 2 3'
_cell_length_a 6.439
_cell_length_b 6.439
_cell_length_c 6.439
_cell_angle_alpha 90.00
_cell_angle_beta 90.00
_cell_angle_gamma 90.00
loop_
_atom_site_label
_atom_site_fract_x
_atom_site_fract_y
_atom_site_fract_z
Zn1 0.000 0.000 0.000
Cr1 0.250 0.250 0.750
Sn1 0.000 0.000 0.500
Pd1 0.250 0.250 0.250
# * calculated formation energy: -0.38 eV per formula unit

# ZnCrSn2Pd GGA-PBE relaxed
data_ZnCrSn2Pd
_chemical_formula_sum 'Zn1 Cr1 Sn2 Pd1'
_symmetry_space_group_name_H-M 'P 4/m m m'
_symmetry_Int_Tables_number 123
_symmetry_space_group_name_Hall '-P 4 2'
_cell_length_a 4.969
_cell_length_b 4.969
_cell_length_c 4.732
_cell_angle_alpha 90.00
_cell_angle_beta 90.00
_cell_angle_gamma 90.00
loop_
_atom_site_label
_atom_site_fract_x
_atom_site_fract_y
_atom_site_fract_z
Zn1 0.000 0.000 0.000
Cr1 0.000 0.000 0.500
Sn1 0.000 0.500 0.500
Pd1 0.500 0.500 0.000
# * calculated formation energy: 2.80 eV per formula unit